DFT (PBE) results for PmBe2GaPd5 after structural relaxation.

Results
**N(E_F)**: 3.67 states/eV per cell
**V**: 15.6 Å³/atom
**Total DFT energy (no corrections)**: -46.09 eV/cell

CIF file:
```
data_PmBe2GaPd5
_symmetry_space_group_name_H-M 'P 4/m m m'
_symmetry_Int_Tables_number 123
_symmetry_space_group_name_Hall '-P 4 2'
_cell_length_a 4.4274
_cell_length_b 4.4274
_cell_length_c 7.1398
_cell_angle_alpha 90.00
_cell_angle_beta 90.00
_cell_angle_gamma 90.00
loop_
_atom_site_label
_atom_site_type_symbol
_atom_site_fract_x
_atom_site_fract_y
_atom_site_fract_z
Pm1 Pm 0.0000 0.0000 0.0000
Be1 Be 0.5000 0.5000 0.3359
Ga1 Ga 0.0000 0.0000 0.5000
Pd1 Pd 0.0000 0.5000 0.2933
Pd2 Pd 0.5000 0.5000 0.0000
```


DFT (PBE) results for Pm2BeGaPd6 after structural relaxation.

Results
**N(E_F)**: 2.67 states/eV per cell
**V**: 18.7 Å³/atom
**Total DFT energy (no corrections)**: -54.19 eV/cell

CIF file:
```
data_Pm2BeGaPd6
_symmetry_space_group_name_H-M 'P -1'
_symmetry_Int_Tables_number 2
_cell_length_a 5.7639
_cell_length_b 5.8955
_cell_length_c 7.0385
_cell_angle_alpha 68.30
_cell_angle_beta 66.19
_cell_angle_gamma 60.81
loop_
_symmetry_equiv_pos_as_xyz
'x,y,z'
'-x,-y,-z'
loop_
_atom_site_label
_atom_site_type_symbol
_atom_site_fract_x
_atom_site_fract_y
_atom_site_fract_z
Pm1 Pm 0.2292 0.2477 0.3136
Be1 Be 0.0000 0.0000 0.0000
Ga1 Ga 0.5000 0.5000 0.5000
Pd1 Pd 0.2326 0.6715 0.8386
Pd2 Pd 0.2454 0.2197 0.7766
Pd3 Pd 0.2742 0.7850 0.2022
```


DFT (PBE) results for Pr2BeGa4Pd3 after structural relaxation.

Results
**N(E_F)**: 7.53 states/eV per cell
**V**: 19.1 Å³/atom
**Total DFT energy (no corrections)**: -47.58 eV/cell

CIF file:
```
data_Pr2BeGa4Pd3
_symmetry_space_group_name_H-M 'P -4 m 2'
_symmetry_Int_Tables_number 115
_cell_length_a 4.2599
_cell_length_b 4.2599
_cell_length_c 10.5507
_cell_angle_alpha 90.00
_cell_angle_beta 90.00
_cell_angle_gamma 90.00
loop_
_symmetry_equiv_pos_as_xyz
'x,y,z'
'y,-x,-z'
'-x,-y,z'
'-y,x,-z'
'-x,y,z'
'-y,-x,-z'
'x,-y,z'
'y,x,-z'
loop_
_atom_site_label
_atom_site_type_symbol
_atom_site_fract_x
_atom_site_fract_y
_atom_site_fract_z
Pr1 Pr 0.0000 0.5000 0.2438
Be1 Be 0.5000 0.5000 0.0000
Ga1 Ga 0.0000 0.0000 0.5000
Ga2 Ga 0.0000 0.5000 0.8754
Ga3 Ga 0.5000 0.5000 0.5000
Pd1 Pd 0.0000 0.0000 0.0000
Pd2 Pd 0.0000 0.5000 0.6353
```


DFT (PBE) results for Pr3Be2GaPd9 after structural relaxation.

Results
**N(E_F)**: 4.43 states/eV per cell
**V**: 18.7 Å³/atom
**Total DFT energy (no corrections)**: -81.40 eV/cell

CIF file:
```
data_Pr3Be2GaPd9
_symmetry_space_group_name_H-M 'P -3 m 1'
_symmetry_Int_Tables_number 164
_symmetry_space_group_name_Hall '-P 3 2"'
_cell_length_a 5.9470
_cell_length_b 5.9470
_cell_length_c 9.1433
_cell_angle_alpha 90.00
_cell_angle_beta 90.00
_cell_angle_gamma 120.00
loop_
_atom_site_label
_atom_site_type_symbol
_atom_site_fract_x
_atom_site_fract_y
_atom_site_fract_z
Pr1 Pr 0.0000 0.0000 0.0000
Pr2 Pr 0.3333 0.6667 0.6589
Be1 Be 0.3333 0.6667 0.1513
Ga1 Ga 0.0000 0.0000 0.5000
Pd1 Pd 0.0000 0.5000 0.0000
Pd2 Pd 0.1637 0.3275 0.2946
```


- N(E_F) of number 3 (Pr2BeGa4Pd3)?
  7.53 states/eV per cell